VASP calculation (GGA+U) on LaMn2HF after structural relaxation.

Cell: 5.864 5.864 4.511 Å, 90.00 90.00 90.00°
Atoms (fractional coordinates):
La  0.000  0.000  0.000
Mn  0.000  0.500  0.000
Mn  0.500  0.000  0.000
H  0.500  0.500  0.500
F  0.000  0.000  0.500

Properties
final energy: -17.58 eV/cell
N(E_F): 1.7 states/eV/cell